PmHgBi2 | PBE | optimized geometry Values from VASP.

## Properties
Polymorph energy (0 for the lowest one) = 0.280 eV per atom
Total moment = 0.0 μB per formula unit

The structure in Quantum ESPRESSO input format:
```
&SYSTEM
  ibrav = 0, nat = 4, ntyp = 3
/
ATOMIC_SPECIES
Pm 145.00 Pm.upf
Hg 200.59 Hg.upf
Bi 208.98 Bi.upf
ATOMIC_POSITIONS crystal
Pm 0.000 0.000 0.000
Hg 0.500 0.500 0.500
Bi 0.250 0.250 0.250
Bi 0.750 0.750 0.750
CELL_PARAMETERS angstrom
0.000 3.923 3.923
3.923 0.000 3.923
3.923 3.923 0.000
```

=====

Ba4Ga2Br | PBE | optimized geometry Values from VASP.

## Properties
Raw formation energy = -0.557 eV/atom
Total moment = 0.0 μB per formula unit

The structure in Quantum ESPRESSO input format:
```
&SYSTEM
  ibrav = 0, nat = 7, ntyp = 3
/
ATOMIC_SPECIES
Ba 137.33 Ba.upf
Ga 69.72 Ga.upf
Br 79.90 Br.upf
ATOMIC_POSITIONS crystal
Ba 0.000 0.500 0.500
Ba 0.210 0.210 0.000
Ba 0.500 0.000 0.500
Ba 0.790 0.790 0.000
Ga 0.414 0.414 0.000
Ga 0.586 0.586 0.000
Br 0.000 0.000 0.000
CELL_PARAMETERS angstrom
-3.186 3.186 7.939
3.186 -3.186 7.939
3.186 3.186 -7.939
```

=====

Cs2KYCl6 | PBE | optimized geometry Values from VASP.

## Properties
Raw formation energy = -2.161 eV/atom
Total moment = 0.0 μB per formula unit

The structure in Quantum ESPRESSO input format:
```
&SYSTEM
  ibrav = 0, nat = 10, ntyp = 4
/
ATOMIC_SPECIES
Cs 132.91 Cs.upf
K 39.10 K.upf
Y 88.91 Y.upf
Cl 35.45 Cl.upf
ATOMIC_POSITIONS crystal
Cs 0.250 0.250 0.250
Cs 0.750 0.750 0.750
K 0.000 0.000 0.000
Y 0.500 0.500 0.500
Cl 0.267 0.267 0.733
Cl 0.267 0.733 0.267
Cl 0.267 0.733 0.733
Cl 0.733 0.267 0.267
Cl 0.733 0.267 0.733
Cl 0.733 0.733 0.267
CELL_PARAMETERS angstrom
0.000 5.672 5.672
5.672 0.000 5.672
5.672 5.672 0.000
```

=====

CsRb2CrBr6 | PBE | optimized geometry Values from VASP.

## Properties
Raw formation energy = -1.359 eV/atom
Polymorph energy (0 for the lowest one) = 0.000 eV per atom
Total moment = 3.0 μB per formula unit

The structure in Quantum ESPRESSO input format:
```
&SYSTEM
  ibrav = 0, nat = 20, ntyp = 4
/
ATOMIC_SPECIES
Cs 132.91 Cs.upf
Rb 85.47 Rb.upf
Cr 52.00 Cr.upf
Br 79.90 Br.upf
ATOMIC_POSITIONS crystal
Cs 0.000 0.000 0.000
Cs 0.000 0.500 0.500
Rb 0.283 0.076 0.758
Rb 0.283 0.424 0.258
Rb 0.717 0.576 0.742
Rb 0.717 0.924 0.242
Cr 0.500 0.000 0.500
Cr 0.500 0.500 0.000
Br 0.185 0.033 0.299
Br 0.185 0.467 0.799
Br 0.306 0.661 0.060
Br 0.306 0.839 0.560
Br 0.417 0.244 0.064
Br 0.417 0.256 0.564
Br 0.583 0.744 0.436
Br 0.583 0.756 0.936
Br 0.694 0.161 0.440
Br 0.694 0.339 0.940
Br 0.815 0.533 0.201
Br 0.815 0.967 0.701
CELL_PARAMETERS angstrom
8.079 0.000 0.000
0.000 8.394 0.000
-7.674 0.000 11.577
```

=====

YScCl3 | PBE | optimized geometry Values from VASP.

## Properties
Raw formation energy = -1.004 eV/atom
Polymorph energy (0 for the lowest one) = 0.799 eV per atom
Total moment = 2.7 μB per formula unit

The structure in Quantum ESPRESSO input format:
```
&SYSTEM
  ibrav = 0, nat = 5, ntyp = 3
/
ATOMIC_SPECIES
Y 88.91 Y.upf
Sc 44.96 Sc.upf
Cl 35.45 Cl.upf
ATOMIC_POSITIONS crystal
Y 0.000 0.000 0.000
Sc 0.500 0.500 0.500
Cl 0.000 0.000 0.500
Cl 0.000 0.500 0.000
Cl 0.500 0.000 0.000
CELL_PARAMETERS angstrom
5.313 0.000 0.000
0.000 5.313 0.000
0.000 0.000 5.313
```

=====

Rb4ScU3Te8 | PBE | optimized geometry Values from VASP.

## Properties
Raw formation energy = -0.925 eV/atom
Total moment = 9.0 μB per formula unit

The structure in Quantum ESPRESSO input format:
```
&SYSTEM
  ibrav = 0, nat = 16, ntyp = 4
/
ATOMIC_SPECIES
Rb 85.47 Rb.upf
Sc 44.96 Sc.upf
U 238.03 U.upf
Te 127.60 Te.upf
ATOMIC_POSITIONS crystal
Rb 0.000 0.000 0.000
Rb 0.000 0.500 0.500
Rb 0.500 0.000 0.500
Rb 0.500 0.500 0.000
Sc 0.500 0.500 0.500
U 0.000 0.000 0.500
U 0.000 0.500 0.000
U 0.500 0.000 0.000
Te 0.235 0.235 0.235
Te 0.244 0.727 0.727
Te 0.273 0.273 0.756
Te 0.273 0.756 0.273
Te 0.727 0.244 0.727
Te 0.727 0.727 0.244
Te 0.756 0.273 0.273
Te 0.765 0.765 0.765
CELL_PARAMETERS angstrom
4.486 2.590 8.604
-4.486 2.590 8.604
0.000 -5.180 8.604
```

=====

Dy2Er6Tc | PBE | optimized geometry Values from VASP.

## Properties
Total moment = 0.2 μB per formula unit
DFT total energy = -5.028 eV per atom

The structure in Quantum ESPRESSO input format:
```
&SYSTEM
  ibrav = 0, nat = 9, ntyp = 3
/
ATOMIC_SPECIES
Dy 162.50 Dy.upf
Er 167.26 Er.upf
Tc 98.00 Tc.upf
ATOMIC_POSITIONS crystal
Dy 0.174 0.826 0.000
Dy 0.826 0.174 0.000
Er 0.170 0.493 0.500
Er 0.240 0.240 0.000
Er 0.493 0.170 0.500
Er 0.507 0.830 0.500
Er 0.760 0.760 0.000
Er 0.830 0.507 0.500
Tc 0.500 0.500 0.500
CELL_PARAMETERS angstrom
4.554 -8.508 0.000
4.554 8.508 0.000
0.000 0.000 3.406
```

=====

BaGeH2Rh2 | PBE | optimized geometry Values from VASP.

## Properties
Total moment = 0.0 μB per formula unit
DFT total energy = -5.096 eV per atom

The structure in Quantum ESPRESSO input format:
```
&SYSTEM
  ibrav = 0, nat = 12, ntyp = 4
/
ATOMIC_SPECIES
Ba 137.33 Ba.upf
Ge 72.64 Ge.upf
H 1.01 H.upf
Rh 102.91 Rh.upf
ATOMIC_POSITIONS crystal
Ba 0.247 0.250 0.495
Ba 0.753 0.750 0.505
Ge 0.403 0.750 0.805
Ge 0.597 0.250 0.195
H 0.093 0.250 0.839
H 0.255 0.750 0.162
H 0.745 0.250 0.838
H 0.907 0.750 0.161
Rh 0.229 0.000 0.000
Rh 0.229 0.500 0.000
Rh 0.771 0.000 0.000
Rh 0.771 0.500 0.000
CELL_PARAMETERS angstrom
6.054 0.000 0.000
0.000 5.756 0.000
-3.022 0.000 5.808
```

=====

La3SnGe2Pd9 | PBE | optimized geometry Values from VASP.

## Properties
Total moment = 0.0 μB per formula unit
DFT total energy = -5.580 eV per atom

The structure in Quantum ESPRESSO input format:
```
&SYSTEM
  ibrav = 0, nat = 15, ntyp = 4
/
ATOMIC_SPECIES
La 138.91 La.upf
Sn 118.71 Sn.upf
Ge 72.64 Ge.upf
Pd 106.42 Pd.upf
ATOMIC_POSITIONS crystal
La 0.000 0.000 0.000
La 0.333 0.667 0.719
La 0.667 0.333 0.281
Sn 0.000 0.000 0.500
Ge 0.333 0.667 0.177
Ge 0.667 0.333 0.823
Pd 0.000 0.500 0.000
Pd 0.141 0.283 0.272
Pd 0.141 0.859 0.272
Pd 0.283 0.141 0.728
Pd 0.500 0.000 0.000
Pd 0.500 0.500 0.000
Pd 0.717 0.859 0.272
Pd 0.859 0.141 0.728
Pd 0.859 0.717 0.728
CELL_PARAMETERS angstrom
6.591 0.000 0.000
-3.296 5.708 0.000
0.000 0.000 9.168
```

=====

AcPtF2 | PBE | optimized geometry Values from VASP.

## Properties
Raw formation energy = -2.239 eV/atom
Total moment = 0.0 μB per formula unit

The structure in Quantum ESPRESSO input format:
```
&SYSTEM
  ibrav = 0, nat = 4, ntyp = 3
/
ATOMIC_SPECIES
Ac 227.00 Ac.upf
Pt 195.08 Pt.upf
F 19.00 F.upf
ATOMIC_POSITIONS crystal
Ac 0.000 0.000 0.000
Pt 0.500 0.500 0.500
F 0.297 0.297 0.297
F 0.703 0.703 0.703
CELL_PARAMETERS angstrom
2.091 1.207 5.542
-2.091 1.207 5.542
0.000 -2.414 5.542
```

=====

AlTc2H | PBE | optimized geometry Values from VASP.

## Properties
Polymorph energy (0 for the lowest one) = 0.790 eV per atom
Total moment = 0.0 μB per formula unit

The structure in Quantum ESPRESSO input format:
```
&SYSTEM
  ibrav = 0, nat = 4, ntyp = 3
/
ATOMIC_SPECIES
Al 26.98 Al.upf
Tc 98.00 Tc.upf
H 1.01 H.upf
ATOMIC_POSITIONS crystal
Al 0.000 0.000 0.000
Tc 0.250 0.250 0.250
Tc 0.750 0.750 0.750
H 0.500 0.500 0.500
CELL_PARAMETERS angstrom
0.000 2.917 2.917
2.917 0.000 2.917
2.917 2.917 0.000
```

=====

SrAu3F | PBE | optimized geometry Values from VASP.

## Properties
Raw formation energy = -0.197 eV/atom
Polymorph energy (0 for the lowest one) = 0.000 eV per atom
Total moment = 0.0 μB per formula unit

The structure in Quantum ESPRESSO input format:
```
&SYSTEM
  ibrav = 0, nat = 5, ntyp = 3
/
ATOMIC_SPECIES
Sr 87.62 Sr.upf
Au 196.97 Au.upf
F 19.00 F.upf
ATOMIC_POSITIONS crystal
Sr 0.000 0.000 0.000
Au 0.000 0.500 0.500
Au 0.500 0.000 0.500
Au 0.500 0.500 0.000
F 0.500 0.500 0.500
CELL_PARAMETERS angstrom
4.854 0.000 0.000
0.000 4.854 0.000
0.000 0.000 4.854
```